## ZrTaAs2 (PBE)

Data for a relaxed structure of ZrTaAs2. Values from VASP.

Geometry as Quantum ESPRESSO input:
```
&SYSTEM
  ibrav = 0, nat = 4, ntyp = 3
/
ATOMIC_SPECIES
As 74.92 As.upf
Ta 180.95 Ta.upf
Zr 91.22 Zr.upf
CELL_PARAMETERS angstrom
-2.905 1.724 1.214
-1.993 -2.920 -0.621
1.125 -1.920 5.416
ATOMIC_POSITIONS crystal
As 0.000 0.000 0.945
As 0.500 0.500 0.305
Ta 0.000 0.000 0.459
Zr 0.500 0.500 0.791
```

## ZrTaAs2 (PBE)

Data for a relaxed structure of ZrTaAs2. Values from VASP.

Geometry as Quantum ESPRESSO input:
```
&SYSTEM
  ibrav = 0, nat = 4, ntyp = 3
/
ATOMIC_SPECIES
As 74.92 As.upf
Zr 91.22 Zr.upf
Ta 180.95 Ta.upf
CELL_PARAMETERS angstrom
5.566 -0.008 0.001
2.655 4.892 -0.001
-3.715 -3.107 2.743
ATOMIC_POSITIONS crystal
As 0.988 0.988 0.000
As 0.274 0.774 0.500
Zr 0.754 0.254 0.500
Ta 0.485 0.485 0.000
```

## Zr3TaAs (PBE)

Data for a relaxed structure of Zr3TaAs. Values from VASP.

Geometry as Quantum ESPRESSO input:
```
&SYSTEM
  ibrav = 0, nat = 5, ntyp = 3
/
ATOMIC_SPECIES
Ta 180.95 Ta.upf
Zr 91.22 Zr.upf
As 74.92 As.upf
CELL_PARAMETERS angstrom
-0.254 2.392 4.501
2.636 -3.796 2.166
4.363 2.433 -1.047
ATOMIC_POSITIONS crystal
Ta 0.000 0.000 0.000
Zr 0.000 0.000 0.500
Zr 0.000 0.500 0.000
Zr 0.500 0.000 0.000
As 0.500 0.500 0.500
```

## ZrTaAs (PBE)

Data for a relaxed structure of ZrTaAs. Values from VASP.

Geometry as Quantum ESPRESSO input:
```
&SYSTEM
  ibrav = 0, nat = 3, ntyp = 3
/
ATOMIC_SPECIES
As 74.92 As.upf
Zr 91.22 Zr.upf
Ta 180.95 Ta.upf
CELL_PARAMETERS angstrom
-3.390 1.116 -2.618
-0.369 -1.796 -4.029
-3.212 -2.929 -0.831
ATOMIC_POSITIONS crystal
As 0.750 0.750 0.750
Zr 0.500 0.500 0.500
Ta 0.000 0.000 0.000
```

## ZrTaAs2 (PBE)

Data for a relaxed structure of ZrTaAs2. Values from VASP.

Geometry as Quantum ESPRESSO input:
```
&SYSTEM
  ibrav = 0, nat = 4, ntyp = 3
/
ATOMIC_SPECIES
As 74.92 As.upf
Ta 180.95 Ta.upf
Zr 91.22 Zr.upf
CELL_PARAMETERS angstrom
0.000 3.286 3.286
3.286 0.000 3.286
3.286 3.286 0.000
ATOMIC_POSITIONS crystal
As 0.250 0.250 0.250
As 0.750 0.750 0.750
Ta 0.500 0.500 0.500
Zr 0.000 0.000 0.000
```

## ZrTaAs2 (PBE)

Data for a relaxed structure of ZrTaAs2. Values from VASP.

Geometry as Quantum ESPRESSO input:
```
&SYSTEM
  ibrav = 0, nat = 4, ntyp = 3
/
ATOMIC_SPECIES
As 74.92 As.upf
Ta 180.95 Ta.upf
Zr 91.22 Zr.upf
CELL_PARAMETERS angstrom
-5.021 0.548 -0.685
-3.864 -1.937 -2.702
-1.420 -3.132 3.044
ATOMIC_POSITIONS crystal
As 0.987 0.987 0.088
As 0.764 0.764 0.661
Ta 0.485 0.485 0.589
Zr 0.263 0.263 0.162
```

Number 1: energy of formation from the pure elements -0.652 eV per atom. Number 2: energy of formation from the pure elements -0.331 eV per atom. Number 3: energy of formation from the pure elements 0.927 eV per atom. Number 4: energy of formation from the pure elements -0.135 eV per atom. Number 5: energy of formation from the pure elements -0.548 eV per atom. Number 6: energy of formation from the pure elements -0.571 eV per atom.